A geometry-optimized Nd7Hg2Pt2 structure, computed with PBE.

Summary:
The value obtained for the energy relative to the elements is -0.483 eV per atom. The total magnetization is 0.00 μB/f.u.

Lattice parameters (Å, degrees): 7.039 7.039 7.349 90.00 90.00 107.43
Element x y z (fractional)
Nd 0.000 0.000 0.000
Nd 0.000 0.500 0.257
Nd 0.000 0.500 0.743
Nd 0.500 0.000 0.257
Nd 0.500 0.000 0.743
Nd 0.500 0.500 0.251
Nd 0.500 0.500 0.749
Hg 0.177 0.177 0.500
Hg 0.823 0.823 0.500
Pt 0.289 0.711 0.000
Pt 0.711 0.289 0.000